Entry 1:
The following is a PBE-GGA calculation of crystalline Tb2Er2Tl at its relaxed geometry, from Alexandria.

Unit cell a=8.335 b=9.586 c=8.486 alpha=90.00 beta=116.91 gamma=90.00
Space group C2/m (No. 12)
One atom of each set of equivalent atoms:
Tb (0.067, 0.184, 0.217) [8 per cell]
Er (0.158, 0.500, 0.926) [4 per cell]
Er (0.223, 0.000, 0.618) [4 per cell]
Tl (0.000, 0.335, 0.500) [4 per cell]

DOS at the Fermi energy = 22.76 states/eV/cell
Formation enthalpy at 0 K = -0.04 eV/atom
M_tot = 0.000 μB/f.u.
Total DFT energy (no corrections) = -4.19 eV/atom
Offset from the most stable computed form = 0.00 eV per formula unit

=====

Entry 2:
The following is a PBE-GGA calculation of crystalline CaMgAu2 at its relaxed geometry, from Alexandria.

Unit cell a=4.903 b=4.903 c=3.536 alpha=90.00 beta=90.00 gamma=90.00
Space group P4/mmm (No. 123)
One atom of each set of equivalent atoms:
Ca (0.000, 0.000, 0.000) [1 per cell]
Mg (0.500, 0.500, 0.000) [1 per cell]
Au (0.000, 0.500, 0.500) [2 per cell]

DOS at the Fermi energy = 1.40 states/eV/cell
Formation enthalpy at 0 K = -0.64 eV/atom
M_tot = 0.000 μB/f.u.
Total DFT energy (no corrections) = -3.18 eV/atom

=====

Entry 3:
The following is a PBE-GGA calculation of crystalline Tb6Nd3Sm2Tl at its relaxed geometry, from Alexandria.

Unit cell a=6.176 b=10.708 c=11.825 alpha=90.00 beta=100.10 gamma=90.00
Space group C2/m (No. 12)
One atom of each set of equivalent atoms:
Tb (0.245, 0.164, 0.246) [8 per cell]
Tb (0.246, 0.000, 0.753) [4 per cell]
Nd (0.000, 0.168, 0.500) [4 per cell]
Nd (0.000, 0.500, 0.500) [2 per cell]
Sm (0.000, 0.334, 0.000) [4 per cell]
Tl (0.000, 0.000, 0.000) [2 per cell]

DOS at the Fermi energy = 32.85 states/eV/cell
Formation enthalpy at 0 K = -0.02 eV/atom
M_tot = 0.001 μB/f.u.
Total DFT energy (no corrections) = -4.51 eV/atom

=====

Entry 4:
The following is a PBE-GGA calculation of crystalline SrLiSb2Rh at its relaxed geometry, from Alexandria.

Unit cell a=4.910 b=4.910 c=5.029 alpha=90.00 beta=90.00 gamma=90.00
Space group P4/mmm (No. 123)
One atom of each set of equivalent atoms:
Sr (0.000, 0.000, 0.000) [1 per cell]
Li (0.000, 0.000, 0.500) [1 per cell]
Sb (0.000, 0.500, 0.500) [2 per cell]
Rh (0.500, 0.500, 0.000) [1 per cell]

DOS at the Fermi energy = 2.82 states/eV/cell
M_tot = 0.000 μB/f.u.
Raw formation energy = 1.221 eV/f.u.
Total DFT energy (no corrections) = -3.59 eV/atom
Offset from the most stable computed form = 3.72 eV per formula unit